# 1
Density functional theory data (SCAN) for LuP5 at its PBEsol-relaxed geometry.

Computed properties:
SG   P2_1/m, No. 11
Energy of formation from the pure elements   -3.54 eV per formula unit

Unit cell a=4.8113 b=5.2207 c=9.2212 alpha=90.00 beta=90.00 gamma=103.03
Fractional positions:
P: 0.7382 0.1077 0.2500
P: 0.2618 0.8923 0.7500
P: 0.2780 0.4058 0.0299
P: 0.6193 0.9611 0.5945
P: 0.7220 0.5942 0.5299
P: 0.7220 0.5942 0.9701
P: 0.2780 0.4058 0.4701
P: 0.3807 0.0389 0.0945
P: 0.3807 0.0389 0.4055
P: 0.6193 0.9611 0.9055
Lu: 0.9943 0.6513 0.2500
Lu: 0.0057 0.3487 0.7500

***

# 2
Density functional theory data (SCAN) for LuP at its PBEsol-relaxed geometry.

Computed properties:
SG   Fm-3m, No. 225
DOS at the Fermi energy   0.18 states/eV per cell
Energy of formation from the pure elements   -3.56 eV per formula unit

Unit cell a=3.8637 b=3.8637 c=3.8637 alpha=60.00 beta=60.00 gamma=60.00
Fractional positions:
Lu: 0.0000 0.0000 0.0000
P: 0.5000 0.5000 0.5000

***

# 3
Density functional theory data (SCAN) for Lu3P6Pd20 at its PBEsol-relaxed geometry.

Computed properties:
SG   Fm-3m, No. 225
DOS at the Fermi energy   10.84 states/eV per cell
Energy of formation from the pure elements   -23.05 eV per formula unit

Unit cell a=8.5040 b=8.5040 c=8.5040 alpha=60.00 beta=60.00 gamma=60.00
Fractional positions:
P: 0.2635 0.7365 0.2635
P: 0.7365 0.2635 0.2635
P: 0.2635 0.2635 0.7365
P: 0.2635 0.7365 0.7365
P: 0.7365 0.7365 0.2635
P: 0.7365 0.2635 0.7365
Lu: 0.2500 0.2500 0.2500
Lu: 0.7500 0.7500 0.7500
Lu: 0.0000 0.0000 0.0000
Pd: 0.6549 0.3451 0.0000
Pd: 0.6165 0.6165 0.1506
Pd: 0.6165 0.6165 0.6165
Pd: 0.1506 0.6165 0.6165
Pd: 0.6549 0.0000 0.0000
Pd: 0.3451 0.0000 0.6549
Pd: 0.3835 0.8494 0.3835
Pd: 0.6549 0.0000 0.3451
Pd: 0.0000 0.3451 0.6549
Pd: 0.3451 0.0000 0.0000
Pd: 0.0000 0.0000 0.6549
Pd: 0.3451 0.6549 0.0000
Pd: 0.6165 0.1506 0.6165
Pd: 0.0000 0.3451 0.0000
Pd: 0.0000 0.6549 0.0000
Pd: 0.3835 0.3835 0.3835
Pd: 0.0000 0.0000 0.3451
Pd: 0.8494 0.3835 0.3835
Pd: 0.0000 0.6549 0.3451
Pd: 0.3835 0.3835 0.8494

***

# 4
Density functional theory data (SCAN) for LuPS4 at its PBEsol-relaxed geometry.

Computed properties:
SG   P2_1/c, No. 14
Formation energy without anion corrections   -1.1795 eV/atom
DOS at the Fermi energy   0.00 states/eV per cell

Unit cell a=6.3612 b=8.2289 c=10.6292 alpha=99.57 beta=90.00 gamma=90.00
Fractional positions:
P: 0.7705 0.7321 0.0355
P: 0.2295 0.2679 0.9645
P: 0.7295 0.2321 0.5355
P: 0.2705 0.7679 0.4645
S: 0.7485 0.2108 0.3455
S: 0.9557 0.1578 0.8891
S: 0.0472 0.6168 0.3660
S: 0.5472 0.8832 0.1340
S: 0.4528 0.1168 0.8660
S: 0.7515 0.7108 0.8455
S: 0.7676 0.0040 0.5900
S: 0.9528 0.3832 0.6340
S: 0.5443 0.6578 0.3891
S: 0.2676 0.4960 0.9100
S: 0.4557 0.3422 0.6109
S: 0.2515 0.7892 0.6545
S: 0.2485 0.2892 0.1545
S: 0.7324 0.5040 0.0900
S: 0.0443 0.8422 0.1109
S: 0.2324 0.9960 0.4100
Lu: 0.6784 0.3920 0.8346
Lu: 0.3216 0.6080 0.1654
Lu: 0.1784 0.1080 0.6654
Lu: 0.8216 0.8920 0.3346

***

# 5
Density functional theory data (SCAN) for Lu2Pd2Pb at its PBEsol-relaxed geometry.

Computed properties:
SG   P4/mbm, No. 127
DOS at the Fermi energy   4.23 states/eV per cell
Energy of formation from the pure elements   -4.87 eV per formula unit

Unit cell a=3.4994 b=7.6701 c=7.6701 alpha=90.00 beta=90.00 gamma=90.00
Fractional positions:
Pd: 0.0000 0.1268 0.6268
Pd: 0.0000 0.6268 0.8732
Pd: 0.0000 0.8732 0.3732
Pd: 0.0000 0.3732 0.1268
Lu: 0.5000 0.6689 0.1689
Lu: 0.5000 0.3311 0.8311
Lu: 0.5000 0.8311 0.6689
Lu: 0.5000 0.1689 0.3311
Pb: 0.0000 0.0000 0.0000
Pb: 0.0000 0.5000 0.5000

***

# 6
Density functional theory data (SCAN) for LuPd2Pb at its PBEsol-relaxed geometry.

Computed properties:
SG   Fm-3m, No. 225
DOS at the Fermi energy   1.58 states/eV per cell
Energy of formation from the pure elements   -3.06 eV per formula unit

Unit cell a=4.7308 b=4.7308 c=4.7308 alpha=60.00 beta=60.00 gamma=60.00
Fractional positions:
Lu: 0.5000 0.5000 0.5000
Pd: 0.2500 0.2500 0.2500
Pd: 0.7500 0.7500 0.7500
Pb: 0.0000 0.0000 0.0000